Compound: LaCu
Source: Alexandria
Functional: GGA-PBE
Structure: optimized geometry

abc: 3.516 3.516 7.920
angles: 90.00 90.00 90.00
Fractional coordinates of all 4 atoms:
1 La 0.250 0.250 0.195
2 La 0.750 0.750 0.805
3 Cu 0.250 0.250 0.567
4 Cu 0.750 0.750 0.433

## Properties
* SG: P4/nmm (129)
* calculated formation energy: -0.0102 eV per atom
* Fermi-level density of states: 0.839 states/eV per atom